First-principles (PBE) data for CdNi2PdC after structural relaxation, as listed in Alexandria via LeMat-Bulk.

Calculated values
As for the total DFT energy (no corrections): -5.33 eV/atom. The formation energy is 0.24 eV/f.u. The calculation puts the density of states at the Fermi level at 4.75 states/eV per cell. The space-group type is P4/mmm, No. 123.

Unit cell a=3.858 b=3.858 c=4.256 alpha=90.00 beta=90.00 gamma=90.00
Positions (direct):
Pd (0.000, 0.000, 0.500)
Cd (0.500, 0.500, 0.500)
C (0.000, 0.000, 0.000)
Ni (0.000, 0.500, 0.000)
Ni (0.500, 0.000, 0.000)